(1)
A relaxed Tl2ReCl crystal, computed with PBE.

Its size of the total moment is 0.6984 μB per atom. The final energy comes out at -3.893 eV per atom. As for the energy above the most stable polymorph in this dataset: 384 meV/atom. For the formation energy from raw total energies, the calculation gives 3.5 eV per formula unit.

It has space group Pmmm (No. 47), with a = 3.268 Å, b = 4.876 Å, c = 6.511 Å, α = 90.00°, β = 90.00° and γ = 90.00°. The inequivalent atoms are Tl at (0.000, 0.000, 0.000), Tl at (0.500, 0.000, 0.500), Re at (0.000, 0.500, 0.500) and Cl at (0.500, 0.500, 0.000).


(2)
A relaxed HgGe2Sb2 crystal, computed with PBE.

Its size of the total moment is 0.0000 μB per atom. The final energy comes out at -3.386 eV per atom. As for the energy above the most stable polymorph in this dataset: 0 meV/atom. For the formation energy from raw total energies, the calculation gives 0.8 eV per formula unit.

It has space group I4/mmm (No. 139), with a = 4.566 Å, b = 4.566 Å, c = 14.233 Å, α = 90.00°, β = 90.00° and γ = 90.00°. The inequivalent atoms are Hg at (0.000, 0.000, 0.000), Ge at (0.000, 0.500, 0.250) and Sb at (0.000, 0.000, 0.369).


(3)
A relaxed SiHgIO2 crystal, computed with PBE.

Its size of the total moment is 0.0000 μB per atom. The final energy comes out at -3.866 eV per atom. As for the energy above the most stable polymorph in this dataset: 0 meV/atom. For the formation energy from raw total energies, the calculation gives -2.1 eV per formula unit.

It has space group P4/mmm (No. 123), with a = 3.835 Å, b = 3.835 Å, c = 5.903 Å, α = 90.00°, β = 90.00° and γ = 90.00°. The inequivalent atoms are Si at (0.000, 0.000, 0.000), Hg at (0.500, 0.500, 0.500), I at (0.000, 0.000, 0.500) and O at (0.000, 0.500, 0.000).


(4)
A relaxed Na2ZnAg2Au5 crystal, computed with PBE.

Its size of the total moment is 0.0000 μB per atom. The formation energy is -0.144 eV per atom. The final energy comes out at -2.744 eV per atom.

It has space group P4/mbm (No. 127), with a = 10.758 Å, b = 10.758 Å, c = 3.528 Å, α = 90.00°, β = 90.00° and γ = 90.00°. The inequivalent atoms are Na at (0.169, 0.331, 0.000), Zn at (0.000, 0.000, 0.000), Ag at (0.139, 0.639, 0.000), Au at (0.000, 0.500, 0.500) and Au at (0.052, 0.817, 0.500).